A plane-wave DFT calculation with PBE was carried out for an optimized crystal structure of Ir3RuRh3. Values from VASP.

Cell and atoms, written as Quantum ESPRESSO input:
```
&SYSTEM
  ibrav = 0, nat = 14, ntyp = 3
/
ATOMIC_SPECIES
Ir 192.22 Ir.upf
Ru 101.07 Ru.upf
Rh 102.91 Rh.upf
CELL_PARAMETERS angstrom
4.986 0.799 -0.248
-1.177 4.910 -0.248
0.327 0.490 8.361
ATOMIC_POSITIONS angstrom
Ir 0.445 0.667 6.203
Ir 2.265 0.920 1.913
Ir -0.021 2.444 1.913
Ir 1.871 5.280 5.952
Ir 4.156 3.755 5.952
Ir 3.691 5.532 1.661
Ru 1.520 2.278 7.906
Ru 2.616 3.921 -0.042
Rh 1.819 2.726 5.287
Rh 0.208 4.341 3.932
Rh 3.928 1.859 3.932
Rh 0.040 4.098 -0.248
Rh 3.768 1.611 -0.248
Rh 2.317 3.473 2.577
```

Properties
symmetry = C2/m, No. 12
E = -7.98 eV/atom
distance to the lowest polymorph of the same formula = 0.000 eV per atom
total magnetic moment = 0.0 μB/f.u.